Compound: CsDyFeO4
Source: the Alexandria database
Functional: PBE with a Hubbard U
Structure: relaxed

```
CsDyFeO4
1.0
5.906 0.000 -0.135
0.000 6.088 0.000
-2.512 0.000 7.566
O Cs Fe Dy
8 2 2 2
Direct
0.960 0.476 0.663
0.040 0.976 0.337
0.040 0.524 0.337
0.535 0.250 0.777
0.465 0.750 0.223
0.488 0.750 0.558
0.512 0.250 0.442
0.960 0.024 0.663
0.698 0.750 0.934
0.302 0.250 0.066
0.263 0.750 0.348
0.737 0.250 0.652
0.181 0.250 0.534
0.819 0.750 0.466
```

Summary:
- space-group type = P2_1/m, No. 11
- E_tot (eV for the cell shown) = -90.3
- DOS at the Fermi energy (states/eV per atom) = 0.0352
- total moment (μB/cell) = 8.00